# 1
# RbTlSeBr | the Alexandria database | PBE-GGA | relaxed
data_RbTlSeBr
_chemical_formula_sum 'Rb1 Tl1 Se1 Br1'
_cell_length_a 4.198
_cell_length_b 4.281
_cell_length_c 8.221
_cell_angle_alpha 90.12
_cell_angle_beta 75.13
_cell_angle_gamma 89.99
_space_group_name_H-M_alt 'P 1'
_space_group_IT_number 1
loop_
_space_group_symop_operation_xyz
'x,y,z'
loop_
_atom_site_label
_atom_site_fract_x
_atom_site_fract_y
_atom_site_fract_z
Rb1 0.147 0.634 0.501
Tl1 0.925 0.133 0.946
Se1 0.453 0.633 0.890
Br1 0.739 0.134 0.320
# **Total energy**: -3.011 eV per atom
# **SG**: P1, No. 1
# **ρ**: 5.22 Mg/m³
# **Energy relative to the elements, uncorrected**: -0.8882 eV/atom

# 2
# RbTlSeBr | the Alexandria database | PBE-GGA | relaxed
data_RbTlSeBr
_chemical_formula_sum 'Rb2 Tl2 Se2 Br2'
_cell_length_a 5.793
_cell_length_b 4.324
_cell_length_c 12.488
_cell_angle_alpha 90.00
_cell_angle_beta 90.00
_cell_angle_gamma 90.00
_space_group_name_H-M_alt 'P 1'
_space_group_IT_number 1
loop_
_space_group_symop_operation_xyz
'x,y,z'
loop_
_atom_site_label
_atom_site_fract_x
_atom_site_fract_y
_atom_site_fract_z
Rb1 0.000 0.000 0.470
Rb2 0.000 0.500 0.970
Tl1 0.500 0.000 0.255
Tl2 0.500 0.500 0.755
Se1 0.500 0.000 0.900
Se2 0.500 0.500 0.400
Br1 0.000 0.000 0.184
Br2 0.000 0.500 0.684
# **Total energy**: -2.933 eV per atom
# **SG**: Amm2, No. 38
# **ρ**: 4.76 Mg/m³
# **Energy relative to the elements, uncorrected**: -0.8101 eV/atom

# 3
# RbTlSeBr | the Alexandria database | PBE-GGA | relaxed
data_RbTlSeBr
_chemical_formula_sum 'Rb1 Tl1 Se1 Br1'
_cell_length_a 6.306
_cell_length_b 4.718
_cell_length_c 6.212
_cell_angle_alpha 90.00
_cell_angle_beta 116.00
_cell_angle_gamma 112.05
_space_group_name_H-M_alt 'P 1'
_space_group_IT_number 1
loop_
_space_group_symop_operation_xyz
'x,y,z'
loop_
_atom_site_label
_atom_site_fract_x
_atom_site_fract_y
_atom_site_fract_z
Rb1 0.692 0.355 0.922
Tl1 0.426 0.721 0.294
Se1 0.112 0.065 0.344
Br1 0.075 0.046 0.820
# **Total energy**: -2.835 eV per atom
# **SG**: P1, No. 1
# **ρ**: 4.94 Mg/m³
# **Energy relative to the elements, uncorrected**: -0.7124 eV/atom

# 4
# Rb2USe2Br2 | the Alexandria database | PBE-GGA | relaxed
data_Rb2USe2Br2
_chemical_formula_sum 'Rb2 U1 Se2 Br2'
_cell_length_a 5.550
_cell_length_b 5.550
_cell_length_c 9.606
_cell_angle_alpha 106.79
_cell_angle_beta 106.79
_cell_angle_gamma 90.00
_space_group_name_H-M_alt 'P 1'
_space_group_IT_number 1
loop_
_space_group_symop_operation_xyz
'x,y,z'
loop_
_atom_site_label
_atom_site_fract_x
_atom_site_fract_y
_atom_site_fract_z
Rb1 0.366 0.366 0.732
Rb2 0.634 0.634 0.268
U1 0.000 0.000 0.000
Se1 0.000 0.500 0.000
Se2 0.500 0.000 0.000
Br1 0.165 0.165 0.331
Br2 0.835 0.835 0.669
# **Total energy**: -4.790 eV per atom
# **SG**: I4/mmm, No. 139
# **ρ**: 4.47 Mg/m³
# **Energy relative to the elements, uncorrected**: -1.4274 eV/atom

# 5
# Rb2VSeBr6 | the Alexandria database | PBE-GGA | relaxed
data_Rb2VSeBr6
_chemical_formula_sum 'Rb2 V1 Se1 Br6'
_cell_length_a 8.393
_cell_length_b 8.393
_cell_length_c 7.847
_cell_angle_alpha 57.67
_cell_angle_beta 57.67
_cell_angle_gamma 90.00
_space_group_name_H-M_alt 'P 1'
_space_group_IT_number 1
loop_
_space_group_symop_operation_xyz
'x,y,z'
loop_
_atom_site_label
_atom_site_fract_x
_atom_site_fract_y
_atom_site_fract_z
Se1 0.000 0.000 0.000
Br1 0.247 0.247 0.506
Br2 0.753 0.753 0.494
Br3 0.287 0.287 0.000
Br4 0.713 0.713 0.000
Br5 0.713 0.287 0.000
Br6 0.287 0.713 0.000
Rb1 0.750 0.250 0.500
Rb2 0.250 0.750 0.500
V1 0.500 0.500 0.000
# **Total energy**: -3.343 eV per atom
# **SG**: I4/mmm, No. 139
# **ρ**: 3.58 Mg/m³
# **Energy relative to the elements, uncorrected**: -0.8853 eV/atom

# 6
# RbVSe2Br | the Alexandria database | PBE-GGA | relaxed
data_RbVSe2Br
_chemical_formula_sum 'Rb1 V1 Se2 Br1'
_cell_length_a 4.889
_cell_length_b 4.889
_cell_length_c 5.684
_cell_angle_alpha 90.00
_cell_angle_beta 90.00
_cell_angle_gamma 90.00
_space_group_name_H-M_alt 'P 1'
_space_group_IT_number 1
loop_
_space_group_symop_operation_xyz
'x,y,z'
loop_
_atom_site_label
_atom_site_fract_x
_atom_site_fract_y
_atom_site_fract_z
Se1 0.000 0.500 0.000
Se2 0.500 0.000 0.000
Br1 0.000 0.000 0.500
Rb1 0.500 0.500 0.500
V1 0.000 0.000 0.000
# **Total energy**: -4.537 eV per atom
# **SG**: P4/mmm, No. 123
# **ρ**: 4.57 Mg/m³
# **Energy relative to the elements, uncorrected**: -0.7913 eV/atom

# 7
# RbVSeBr6 | the Alexandria database | PBE-GGA | relaxed
data_RbVSeBr6
_chemical_formula_sum 'Rb1 V1 Se1 Br6'
_cell_length_a 8.496
_cell_length_b 7.614
_cell_length_c 6.694
_cell_angle_alpha 72.67
_cell_angle_beta 72.44
_cell_angle_gamma 52.77
_space_group_name_H-M_alt 'P 1'
_space_group_IT_number 1
loop_
_space_group_symop_operation_xyz
'x,y,z'
loop_
_atom_site_label
_atom_site_fract_x
_atom_site_fract_y
_atom_site_fract_z
Rb1 0.127 0.713 0.002
V1 0.677 0.680 0.481
Se1 0.368 0.359 0.562
Br1 0.927 0.393 0.268
Br2 0.376 0.005 0.727
Br3 0.654 0.435 0.796
Br4 0.905 0.713 0.582
Br5 0.375 0.710 0.386
Br6 0.591 0.991 0.196
# **Total energy**: -3.339 eV per atom
# **SG**: P1, No. 1
# **ρ**: 3.55 Mg/m³
# **Energy relative to the elements, uncorrected**: -0.7158 eV/atom

# 8
# Rb2WSeBr6 | the Alexandria database | PBE-GGA | relaxed
data_Rb2WSeBr6
_chemical_formula_sum 'Rb2 W1 Se1 Br6'
_cell_length_a 8.539
_cell_length_b 8.539
_cell_length_c 7.959
_cell_angle_alpha 57.56
_cell_angle_beta 57.56
_cell_angle_gamma 90.00
_space_group_name_H-M_alt 'P 1'
_space_group_IT_number 1
loop_
_space_group_symop_operation_xyz
'x,y,z'
loop_
_atom_site_label
_atom_site_fract_x
_atom_site_fract_y
_atom_site_fract_z
Br1 0.246 0.246 0.508
Br2 0.754 0.754 0.492
Br3 0.213 0.213 0.000
Br4 0.787 0.787 0.000
Br5 0.787 0.213 0.000
Br6 0.213 0.787 0.000
Se1 0.500 0.500 0.000
Rb1 0.750 0.250 0.500
Rb2 0.250 0.750 0.500
W1 0.000 0.000 0.000
# **Total energy**: -3.515 eV per atom
# **SG**: I4/mmm, No. 139
# **ρ**: 4.01 Mg/m³
# **Energy relative to the elements, uncorrected**: -0.6741 eV/atom